# Ba2ZnOs, relaxed, DFT PBE
# - Density of states at the Fermi level: 4.24 states/eV/cell
# - Formation enthalpy at 0 K: 287.6 meV/atom
# - Total moment: 0.000 μB per atom
data_Ba2ZnOs
_chemical_formula_sum 'Ba4 Zn2 Os2'
_cell_length_a 4.614
_cell_length_b 4.823
_cell_length_c 11.535
_cell_angle_alpha 90.00
_cell_angle_beta 90.00
_cell_angle_gamma 90.00
_space_group_name_H-M_alt 'A m m 2'
_space_group_IT_number 38
loop_
_space_group_symop_operation_xyz
'x,y,z'
'-x,-y,z'
'-x,y,z'
'x,-y,z'
'x,y+1/2,z+1/2'
'-x,-y+1/2,z+1/2'
'-x,y+1/2,z+1/2'
'x,-y+1/2,z+1/2'
loop_
_atom_site_label
_atom_site_type_symbol
_atom_site_fract_x
_atom_site_fract_y
_atom_site_fract_z
Ba1 Ba 0.000 0.000 0.000
Ba2 Ba 0.500 0.000 0.286
Zn1 Zn 0.500 0.000 0.597
Os1 Os 0.000 0.000 0.681


# BaZnOs2, relaxed, DFT PBE
# - Density of states at the Fermi level: 10.88 states/eV/cell
# - Formation enthalpy at 0 K: 1387.2 meV/atom
# - Total moment: 0.567 μB per atom
data_BaZnOs2
_chemical_formula_sum 'Ba2 Zn2 Os4'
_cell_length_a 4.191
_cell_length_b 4.191
_cell_length_c 9.161
_cell_angle_alpha 90.00
_cell_angle_beta 90.00
_cell_angle_gamma 90.00
_space_group_name_H-M_alt 'I 4/m m m'
_space_group_IT_number 139
_space_group_name_Hall '-I 4 2'
loop_
_atom_site_label
_atom_site_type_symbol
_atom_site_fract_x
_atom_site_fract_y
_atom_site_fract_z
Ba1 Ba 0.000 0.000 0.000
Zn1 Zn 0.000 0.000 0.500
Os1 Os 0.000 0.500 0.250


# BaZn2Os, relaxed, DFT PBE
# - Density of states at the Fermi level: 8.88 states/eV/cell
# - Formation enthalpy at 0 K: 635.6 meV/atom
# - Total moment: 0.003 μB per atom
data_BaZn2Os
_chemical_formula_sum 'Ba2 Zn4 Os2'
_cell_length_a 4.585
_cell_length_b 4.585
_cell_length_c 7.951
_cell_angle_alpha 90.00
_cell_angle_beta 90.00
_cell_angle_gamma 90.00
_space_group_name_H-M_alt 'I 4/m m m'
_space_group_IT_number 139
_space_group_name_Hall '-I 4 2'
loop_
_atom_site_label
_atom_site_type_symbol
_atom_site_fract_x
_atom_site_fract_y
_atom_site_fract_z
Ba1 Ba 0.000 0.000 0.000
Zn1 Zn 0.000 0.500 0.250
Os1 Os 0.000 0.000 0.500


# BaZn2Os, relaxed, DFT PBE
# - Density of states at the Fermi level: 7.97 states/eV/cell
# - Formation enthalpy at 0 K: 687.0 meV/atom
# - Total moment: 0.000 μB per atom
data_BaZn2Os
_chemical_formula_sum 'Ba3 Zn6 Os3'
_cell_length_a 3.0513
_cell_length_b 3.0513
_cell_length_c 29.7700
_cell_angle_alpha 90.00
_cell_angle_beta 90.00
_cell_angle_gamma 120.00
_space_group_name_H-M_alt 'R -3 m'
_space_group_IT_number 166
_space_group_name_Hall '-R 3 2"'
loop_
_atom_site_label
_atom_site_type_symbol
_atom_site_fract_x
_atom_site_fract_y
_atom_site_fract_z
Ba1 Ba 0.0000 0.0000 0.0000
Zn1 Zn 0.0000 0.0000 0.2344
Os1 Os 0.0000 0.0000 0.5000


# BaZnOs2, relaxed, DFT PBE
# - Density of states at the Fermi level: 9.08 states/eV/cell
# - Formation enthalpy at 0 K: 769.5 meV/atom
# - Total moment: 0.000 μB per atom
data_BaZnOs2
_chemical_formula_sum 'Ba2 Zn2 Os4'
_cell_length_a 9.274
_cell_length_b 2.985
_cell_length_c 6.237
_cell_angle_alpha 90.00
_cell_angle_beta 97.99
_cell_angle_gamma 90.00
_space_group_name_H-M_alt 'C 1 2/m 1'
_space_group_IT_number 12
loop_
_space_group_symop_operation_xyz
'x,y,z'
'-x,-y,-z'
'-x,y,-z'
'x,-y,z'
'x+1/2,y+1/2,z'
'-x+1/2,-y+1/2,-z'
'-x+1/2,y+1/2,-z'
'x+1/2,-y+1/2,z'
loop_
_atom_site_label
_atom_site_type_symbol
_atom_site_fract_x
_atom_site_fract_y
_atom_site_fract_z
Ba1 Ba 0.000 0.000 0.000
Zn1 Zn 0.000 0.500 0.500
Os1 Os 0.223 0.000 0.651


# BaZnOs3, relaxed, DFT PBE
# - Density of states at the Fermi level: 7.45 states/eV/cell
# - Formation enthalpy at 0 K: 3718.8 meV/atom
# - Total moment: 0.805 μB per atom
data_BaZnOs3
_chemical_formula_sum 'Ba1 Zn1 Os3'
_cell_length_a 5.096
_cell_length_b 5.096
_cell_length_c 5.096
_cell_angle_alpha 90.00
_cell_angle_beta 90.00
_cell_angle_gamma 90.00
_space_group_name_H-M_alt 'P m -3 m'
_space_group_IT_number 221
_space_group_name_Hall '-P 4 2 3'
loop_
_atom_site_label
_atom_site_type_symbol
_atom_site_fract_x
_atom_site_fract_y
_atom_site_fract_z
Ba1 Ba 0.000 0.000 0.000
Zn1 Zn 0.500 0.500 0.500
Os1 Os 0.000 0.000 0.500


# BaZnOs2, relaxed, DFT PBE
# - Density of states at the Fermi level: 2.69 states/eV/cell
# - Formation enthalpy at 0 K: 510.5 meV/atom
# - Total moment: 0.000 μB per atom
data_BaZnOs2
_chemical_formula_sum 'Ba1 Zn1 Os2'
_cell_length_a 3.029
_cell_length_b 3.029
_cell_length_c 8.477
_cell_angle_alpha 90.00
_cell_angle_beta 90.00
_cell_angle_gamma 90.00
_space_group_name_H-M_alt 'P 4 m m'
_space_group_IT_number 99
loop_
_space_group_symop_operation_xyz
'x,y,z'
'-y,x,z'
'-x,-y,z'
'y,-x,z'
'-x,y,z'
'y,x,z'
'x,-y,z'
'-y,-x,z'
loop_
_atom_site_label
_atom_site_type_symbol
_atom_site_fract_x
_atom_site_fract_y
_atom_site_fract_z
Ba1 Ba 0.000 0.000 0.000
Zn1 Zn 0.500 0.500 0.682
Os1 Os 0.000 0.000 0.490
Os2 Os 0.500 0.500 0.312


# BaZn2Os, relaxed, DFT PBE
# - Density of states at the Fermi level: 1.06 states/eV/cell
# - Formation enthalpy at 0 K: 354.4 meV/atom
# - Total moment: 0.000 μB per atom
data_BaZn2Os
_chemical_formula_sum 'Ba1 Zn2 Os1'
_cell_length_a 3.493
_cell_length_b 3.493
_cell_length_c 7.405
_cell_angle_alpha 90.00
_cell_angle_beta 90.00
_cell_angle_gamma 90.00
_space_group_name_H-M_alt 'P 4 m m'
_space_group_IT_number 99
loop_
_space_group_symop_operation_xyz
'x,y,z'
'-y,x,z'
'-x,-y,z'
'y,-x,z'
'-x,y,z'
'y,x,z'
'x,-y,z'
'-y,-x,z'
loop_
_atom_site_label
_atom_site_type_symbol
_atom_site_fract_x
_atom_site_fract_y
_atom_site_fract_z
Ba1 Ba 0.000 0.000 0.000
Zn1 Zn 0.000 0.000 0.421
Zn2 Zn 0.500 0.500 0.648
Os1 Os 0.500 0.500 0.315


# BaZnOs2, relaxed, DFT PBE
# - Density of states at the Fermi level: 15.74 states/eV/cell
# - Formation enthalpy at 0 K: 705.6 meV/atom
# - Total moment: 0.000 μB per atom
data_BaZnOs2
_chemical_formula_sum 'Ba4 Zn4 Os8'
_cell_length_a 4.748
_cell_length_b 4.748
_cell_length_c 18.196
_cell_angle_alpha 90.00
_cell_angle_beta 90.00
_cell_angle_gamma 90.00
_space_group_name_H-M_alt 'I -4 2 d'
_space_group_IT_number 122
_space_group_name_Hall 'I -4 2bw'
loop_
_atom_site_label
_atom_site_type_symbol
_atom_site_fract_x
_atom_site_fract_y
_atom_site_fract_z
Ba1 Ba 0.000 0.000 0.000
Zn1 Zn 0.000 0.000 0.500
Os1 Os 0.050 0.750 0.625


# Ba2Zn2Os, relaxed, DFT PBE
# - Density of states at the Fermi level: 8.32 states/eV/cell
# - Formation enthalpy at 0 K: 381.4 meV/atom
# - Total moment: 0.000 μB per atom
data_Ba2Zn2Os
_chemical_formula_sum 'Ba4 Zn4 Os2'
_cell_length_a 7.045
_cell_length_b 7.045
_cell_length_c 5.300
_cell_angle_alpha 90.00
_cell_angle_beta 90.00
_cell_angle_gamma 90.00
_space_group_name_H-M_alt 'P 4/m b m'
_space_group_IT_number 127
_space_group_name_Hall '-P 4 2ab'
loop_
_atom_site_label
_atom_site_type_symbol
_atom_site_fract_x
_atom_site_fract_y
_atom_site_fract_z
Ba1 Ba 0.184 0.316 0.000
Zn1 Zn 0.151 0.651 0.500
Os1 Os 0.000 0.000 0.500


# BaZn2Os, relaxed, DFT PBE
# - Density of states at the Fermi level: 6.30 states/eV/cell
# - Formation enthalpy at 0 K: 357.8 meV/atom
# - Total moment: 0.000 μB per atom
data_BaZn2Os
_chemical_formula_sum 'Ba4 Zn8 Os4'
_cell_length_a 4.929
_cell_length_b 4.929
_cell_length_c 17.480
_cell_angle_alpha 90.00
_cell_angle_beta 90.00
_cell_angle_gamma 90.00
_space_group_name_H-M_alt 'I 41/a m d'
_space_group_IT_number 141
loop_
_space_group_symop_operation_xyz
'x,y,z'
'-x,-y,-z'
'-y+1/4,x+3/4,z+1/4'
'y+1/4,-x+3/4,-z+1/4'
'-x+1/2,-y,z+1/2'
'x+1/2,y,-z+1/2'
'y+1/4,-x+1/4,z+3/4'
'-y+1/4,x+1/4,-z+3/4'
'x,-y,-z'
'-x,y,z'
'-y+1/4,-x+1/4,-z+3/4'
'y+1/4,x+1/4,z+3/4'
'-x+1/2,y,-z+1/2'
'x+1/2,-y,z+1/2'
'y+1/4,x+3/4,-z+1/4'
'-y+1/4,-x+3/4,z+1/4'
'x+1/2,y+1/2,z+1/2'
'-x+1/2,-y+1/2,-z+1/2'
'-y+3/4,x+1/4,z+3/4'
'y+3/4,-x+1/4,-z+3/4'
'-x,-y+1/2,z'
'x,y+1/2,-z'
'y+3/4,-x+3/4,z+1/4'
'-y+3/4,x+3/4,-z+1/4'
'x+1/2,-y+1/2,-z+1/2'
'-x+1/2,y+1/2,z+1/2'
'-y+3/4,-x+3/4,-z+1/4'
'y+3/4,x+3/4,z+1/4'
'-x,y+1/2,-z'
'x,-y+1/2,z'
'y+3/4,x+1/4,-z+3/4'
'-y+3/4,-x+1/4,z+3/4'
loop_
_atom_site_label
_atom_site_type_symbol
_atom_site_fract_x
_atom_site_fract_y
_atom_site_fract_z
Ba1 Ba 0.000 0.250 0.375
Zn1 Zn 0.000 0.000 0.000
Os1 Os 0.000 0.250 0.875


# BaZn2Os, relaxed, DFT PBE
# - Density of states at the Fermi level: 4.29 states/eV/cell
# - Formation enthalpy at 0 K: 153.6 meV/atom
# - Total moment: 0.000 μB per atom
data_BaZn2Os
_chemical_formula_sum 'Ba2 Zn4 Os2'
_cell_length_a 7.683
_cell_length_b 4.433
_cell_length_c 6.264
_cell_angle_alpha 90.00
_cell_angle_beta 114.13
_cell_angle_gamma 90.00
_space_group_name_H-M_alt 'C 1 m 1'
_space_group_IT_number 8
loop_
_space_group_symop_operation_xyz
'x,y,z'
'x,-y,z'
'x+1/2,y+1/2,z'
'x+1/2,-y+1/2,z'
loop_
_atom_site_label
_atom_site_type_symbol
_atom_site_fract_x
_atom_site_fract_y
_atom_site_fract_z
Ba1 Ba 0.000 0.000 0.000
Zn1 Zn 0.014 0.500 0.541
Zn2 Zn 0.316 0.500 0.444
Os1 Os 0.189 0.000 0.565


# BaZnOs2, relaxed, DFT PBE
# - Density of states at the Fermi level: 9.69 states/eV/cell
# - Formation enthalpy at 0 K: 1389.6 meV/atom
# - Total moment: 0.002 μB per atom
data_BaZnOs2
_chemical_formula_sum 'Ba2 Zn2 Os4'
_cell_length_a 5.946
_cell_length_b 9.582
_cell_length_c 2.781
_cell_angle_alpha 90.00
_cell_angle_beta 90.00
_cell_angle_gamma 90.00
_space_group_name_H-M_alt 'C m m m'
_space_group_IT_number 65
_space_group_name_Hall '-C 2 2'
loop_
_atom_site_label
_atom_site_type_symbol
_atom_site_fract_x
_atom_site_fract_y
_atom_site_fract_z
Ba1 Ba 0.000 0.000 0.000
Zn1 Zn 0.000 0.500 0.000
Os1 Os 0.250 0.250 0.500


# BaZn2Os, relaxed, DFT PBE
# - Density of states at the Fermi level: 7.08 states/eV/cell
# - Formation enthalpy at 0 K: 789.2 meV/atom
# - Total moment: 0.000 μB per atom
data_BaZn2Os
_chemical_formula_sum 'Ba3 Zn6 Os3'
_cell_length_a 3.0694
_cell_length_b 3.0694
_cell_length_c 29.7209
_cell_angle_alpha 90.00
_cell_angle_beta 90.00
_cell_angle_gamma 120.00
_space_group_name_H-M_alt 'R 3 m'
_space_group_IT_number 160
_space_group_name_Hall 'R 3 -2"'
loop_
_atom_site_label
_atom_site_type_symbol
_atom_site_fract_x
_atom_site_fract_y
_atom_site_fract_z
Ba1 Ba 0.0000 0.0000 0.0000
Zn1 Zn 0.0000 0.0000 0.2319
Zn2 Zn 0.0000 0.0000 0.4926
Os1 Os 0.0000 0.0000 0.7601


# BaZn2Os, relaxed, DFT PBE
# - Density of states at the Fermi level: 4.47 states/eV/cell
# - Formation enthalpy at 0 K: 657.2 meV/atom
# - Total moment: 0.000 μB per atom
data_BaZn2Os
_chemical_formula_sum 'Ba2 Zn4 Os2'
_cell_length_a 2.987
_cell_length_b 5.361
_cell_length_c 10.401
_cell_angle_alpha 90.00
_cell_angle_beta 90.00
_cell_angle_gamma 90.00
_space_group_name_H-M_alt 'I m m 2'
_space_group_IT_number 44
loop_
_space_group_symop_operation_xyz
'x,y,z'
'-x,-y,z'
'-x,y,z'
'x,-y,z'
'x+1/2,y+1/2,z+1/2'
'-x+1/2,-y+1/2,z+1/2'
'-x+1/2,y+1/2,z+1/2'
'x+1/2,-y+1/2,z+1/2'
loop_
_atom_site_label
_atom_site_type_symbol
_atom_site_fract_x
_atom_site_fract_y
_atom_site_fract_z
Ba1 Ba 0.000 0.000 0.000
Zn1 Zn 0.000 0.000 0.523
Zn2 Zn 0.000 0.500 0.794
Os1 Os 0.000 0.500 0.223